The following is a PBE calculation of a geometry-optimized YBS2Br structure, from Alexandria via LeMat-Bulk.

a = 4.468 Å, b = 4.461 Å, c = 4.468 Å
α = 90.00°, β = 90.00°, γ = 90.00°
Positions (direct):
1 Y 0.500 0.500 0.500
2 S 0.000 0.000 0.500
3 S 0.500 0.000 0.000
4 B 0.000 0.000 0.000
5 Br 0.000 0.500 0.000

formation energy (no corrections): -321.2 meV per atom
raw total energy: -4.935 eV per atom
M_tot: 0.0 μB/cell
space-group type: P4/mmm, No. 123

***

The following is a PBE calculation of a geometry-optimized TcTeIr2 structure, from Alexandria via LeMat-Bulk.

a = 4.737 Å, b = 4.737 Å, c = 5.112 Å
α = 79.09°, β = 79.09°, γ = 36.18°
Positions (direct):
1 Ir 0.001 0.001 0.974
2 Ir 0.753 0.753 0.739
3 Tc 0.498 0.498 0.537
4 Te 0.248 0.248 0.250

formation energy (no corrections): 349.4 meV per atom
raw total energy: -7.458 eV per atom
M_tot: 0.0 μB/cell
space-group type: Cm, No. 8

***

The following is a PBE calculation of a geometry-optimized CuAs2P structure, from Alexandria via LeMat-Bulk.

a = 5.945 Å, b = 5.945 Å, c = 5.945 Å
α = 145.72°, β = 144.36°, γ = 50.28°
Positions (direct):
1 As 0.072 0.072 0.000
2 As 0.428 0.428 0.000
3 Cu 0.750 0.250 0.500
4 P 0.250 0.750 0.500

raw total energy: -4.429 eV per atom
formation energy from the elements: 0.27 eV per atom
M_tot: 0.0 μB/cell
space-group type: Immm, No. 71

***

The following is a PBE calculation of a geometry-optimized SrAlZn4Cu2 structure, from Alexandria via LeMat-Bulk.

a = 4.228 Å, b = 4.228 Å, c = 9.868 Å
α = 77.63°, β = 77.63°, γ = 60.00°
Positions (direct):
1 Sr 0.000 0.000 0.000
2 Al 0.500 0.500 0.500
3 Zn 0.408 0.408 0.775
4 Zn 0.876 0.876 0.371
5 Zn 0.124 0.124 0.629
6 Zn 0.592 0.592 0.225
7 Cu 0.775 0.775 0.675
8 Cu 0.225 0.225 0.325

raw total energy: -2.424 eV per atom
formation energy from the elements: -0.09 eV per atom
M_tot: 0.0 μB/cell
space-group type: R-3m, No. 166

***

The following is a PBE calculation of a geometry-optimized CeGa2Au structure, from Alexandria via LeMat-Bulk.

a = 5.911 Å, b = 6.841 Å, c = 8.345 Å
α = 90.00°, β = 90.00°, γ = 90.00°
Positions (direct):
1 Ce 0.371 0.250 0.037
2 Ce 0.871 0.750 0.463
3 Ce 0.629 0.750 0.963
4 Ce 0.129 0.250 0.537
5 Ga 0.895 0.054 0.199
6 Ga 0.395 0.946 0.301
7 Ga 0.105 0.554 0.801
8 Ga 0.605 0.446 0.699
9 Ga 0.105 0.946 0.801
10 Ga 0.605 0.054 0.699
11 Ga 0.895 0.446 0.199
12 Ga 0.395 0.554 0.301
13 Au 0.632 0.250 0.420
14 Au 0.132 0.750 0.080
15 Au 0.368 0.750 0.580
16 Au 0.868 0.250 0.920

raw total energy: -4.324 eV per atom
formation energy from the elements: -0.51 eV per atom
M_tot: 3.5 μB/cell
space-group type: Pnma, No. 62

***

The following is a PBE calculation of a geometry-optimized PrEu3Pd structure, from Alexandria via LeMat-Bulk.

a = 5.762 Å, b = 5.762 Å, c = 5.762 Å
α = 90.00°, β = 90.00°, γ = 90.00°
Positions (direct):
1 Eu 0.000 0.500 0.000
2 Eu 0.000 0.000 0.500
3 Eu 0.500 0.000 0.000
4 Pr 0.500 0.500 0.500
5 Pd 0.000 0.000 0.000

raw total energy: -8.285 eV per atom
formation energy from the elements: -0.13 eV per atom
M_tot: 22.0 μB/cell
space-group type: Pm-3m, No. 221

***

The following is a PBE calculation of a geometry-optimized NaInSn structure, from Alexandria via LeMat-Bulk.

a = 4.760 Å, b = 5.560 Å, c = 7.478 Å
α = 86.26°, β = 67.33°, γ = 75.53°
Positions (direct):
1 Na 0.992 0.186 0.540
2 Na 0.765 0.131 0.145
3 In 0.556 0.871 0.852
4 In 0.204 0.444 0.833
5 Sn 0.541 0.703 0.470
6 Sn 0.214 0.614 0.216

raw total energy: -2.756 eV per atom
formation energy from the elements: -0.07 eV per atom
M_tot: 0.0 μB/cell
space-group type: P1, No. 1

***

The following is a PBE calculation of a geometry-optimized SrPRu structure, from Alexandria via LeMat-Bulk.

a = 4.048 Å, b = 4.048 Å, c = 8.936 Å
α = 89.99°, β = 89.99°, γ = 90.00°
Positions (direct):
1 Sr 0.814 0.867 0.620
2 Sr 0.313 0.366 0.219
3 P 0.814 0.866 0.053
4 P 0.314 0.367 0.786
5 Ru 0.814 0.366 0.920
6 Ru 0.314 0.866 0.920

raw total energy: -6.303 eV per atom
formation energy from the elements: -0.85 eV per atom
M_tot: 0.0 μB/cell
space-group type: P4/nmm, No. 129